This record from the Alexandria database describes a relaxed NpCr2NiO8 crystal. The functional is GGA+U.

Results
E_tot in eV/atom: -7.4734

abc: 6.7410 6.7410 6.5688
angles: 90.00 90.00 90.00
Space group I-4m2 (No. 119)
One atom of each set of equivalent atoms:
Np  0.0000  0.0000  0.0000 [2 per cell]
Cr  0.0000  0.0000  0.5000 [2 per cell]
Cr  0.0000  0.5000  0.7500 [2 per cell]
Ni  0.0000  0.5000  0.2500 [2 per cell]
O  0.0000  0.1926  0.3239 [8 per cell]
O  0.0000  0.2986  0.9399 [8 per cell]